one.
P2AuClF: relaxed, PBE.

It has space group P4/mmm (No. 123), with a = 4.8018 Å, b = 4.8018 Å, c = 5.0300 Å, α = 90.00°, β = 90.00° and γ = 90.00°. The inequivalent atoms are P at (0.0000, 0.5000, 0.0000), Au at (0.0000, 0.0000, 0.0000), Cl at (0.0000, 0.0000, 0.5000) and F at (0.5000, 0.5000, 0.5000).

The density of states at the Fermi level is 5.1 states/eV/cell. For the volume, the calculation gives 116 Å³ per cell.


two.
P2AuClF: relaxed, PBE.

It has space group P4/mmm (No. 123), with a = 4.1233 Å, b = 4.1233 Å, c = 5.5362 Å, α = 90.00°, β = 90.00° and γ = 90.00°. The inequivalent atoms are P at (0.0000, 0.5000, 0.0000), Au at (0.0000, 0.0000, 0.5000), Cl at (0.5000, 0.5000, 0.5000) and F at (0.5000, 0.5000, 0.0000).

The density of states at the Fermi level is 4.2 states/eV/cell. For the volume, the calculation gives 94 Å³ per cell.


Top of the stability list: two, leading by 51 meV per atom.


one.
AuSCl2F: relaxed, PBE.

It has space group P4/mmm (No. 123), with a = 4.9344 Å, b = 4.9344 Å, c = 4.9361 Å, α = 90.00°, β = 90.00° and γ = 90.00°. The inequivalent atoms are Au at (0.0000, 0.0000, 0.0000), S at (0.0000, 0.0000, 0.5000), Cl at (0.0000, 0.5000, 0.0000) and F at (0.5000, 0.5000, 0.5000).

The density of states at the Fermi level is 6.6 states/eV/cell. For the volume, the calculation gives 120 Å³ per cell.


two.
AuSCl2F: relaxed, PBE.

It has space group P4/mmm (No. 123), with a = 5.4608 Å, b = 5.4608 Å, c = 3.5842 Å, α = 90.00°, β = 90.00° and γ = 90.00°. The inequivalent atoms are Au at (0.0000, 0.0000, 0.0000), S at (0.5000, 0.5000, 0.0000), Cl at (0.0000, 0.5000, 0.5000) and F at (0.5000, 0.5000, 0.5000).

The density of states at the Fermi level is 6.0 states/eV/cell. For the volume, the calculation gives 107 Å³ per cell.


Top of the stability list: one, leading by 160 meV per atom.


one.
FeAuCl4: relaxed, PBE.

It has space group P-42c (No. 112), with a = 5.9299 Å, b = 5.9299 Å, c = 10.4812 Å, α = 90.00°, β = 90.00° and γ = 90.00°. The inequivalent atoms are Fe at (0.0000, 0.5000, 0.2500), Au at (0.0000, 0.0000, 0.0000) and Cl at (0.2243, 0.2864, 0.3699).

The density of states at the Fermi level is 0.1 states/eV/cell. For the volume, the calculation gives 369 Å³ per cell.


two.
FeAuCl4: relaxed, PBE.

It has space group F-43m (No. 216), with a = 8.1857 Å, b = 8.1857 Å, c = 8.1857 Å, α = 90.00°, β = 90.00° and γ = 90.00°. The inequivalent atoms are Fe at (0.0000, 0.0000, 0.0000), Au at (0.2500, 0.2500, 0.7500) and Cl at (0.1250, 0.1250, 0.3750).

The density of states at the Fermi level is 39.9 states/eV/cell. For the volume, the calculation gives 548 Å³ per cell.


Top of the stability list: one, leading by 1522 meV per atom.


one.
FeMo2AuCl: relaxed, PBE.

It has space group P4/mmm (No. 123), with a = 5.2215 Å, b = 5.2215 Å, c = 4.8300 Å, α = 90.00°, β = 90.00° and γ = 90.00°. The inequivalent atoms are Fe at (0.0000, 0.0000, 0.0000), Mo at (0.0000, 0.5000, 0.5000), Au at (0.0000, 0.0000, 0.5000) and Cl at (0.5000, 0.5000, 0.0000).

The density of states at the Fermi level is 8.4 states/eV/cell. For the volume, the calculation gives 132 Å³ per cell.


two.
FeMo2AuCl: relaxed, PBE.

It has space group P4/mmm (No. 123), with a = 4.4427 Å, b = 4.4427 Å, c = 4.0735 Å, α = 90.00°, β = 90.00° and γ = 90.00°. The inequivalent atoms are Fe at (0.0000, 0.0000, 0.0000), Mo at (0.0000, 0.5000, 0.5000), Au at (0.5000, 0.5000, 0.0000) and Cl at (0.0000, 0.0000, 0.5000).

The density of states at the Fermi level is 3.5 states/eV/cell. For the volume, the calculation gives 80 Å³ per cell.


Top of the stability list: two, leading by 982 meV per atom.


one.
GaAu3Cl: relaxed, PBE.

It has space group Pm-3m (No. 221), with a = 4.9466 Å, b = 4.9466 Å, c = 4.9466 Å, α = 90.00°, β = 90.00° and γ = 90.00°. The inequivalent atoms are Ga at (0.0000, 0.0000, 0.0000), Au at (0.0000, 0.0000, 0.5000) and Cl at (0.5000, 0.5000, 0.5000).

The density of states at the Fermi level is 8.0 states/eV/cell. For the volume, the calculation gives 121 Å³ per cell.


two.
GaAu3Cl: relaxed, PBE.

It has space group Pm-3m (No. 221), with a = 5.0212 Å, b = 5.0212 Å, c = 5.0212 Å, α = 90.00°, β = 90.00° and γ = 90.00°. The inequivalent atoms are Ga at (0.0000, 0.0000, 0.0000), Au at (0.0000, 0.5000, 0.5000) and Cl at (0.5000, 0.5000, 0.5000).

The density of states at the Fermi level is 4.7 states/eV/cell. For the volume, the calculation gives 127 Å³ per cell.


Top of the stability list: one, leading by 363 meV per atom.


one.
GaAuCl2: relaxed, PBE.

It has space group Fm-3m (No. 225), with a = 7.0310 Å, b = 7.0310 Å, c = 7.0310 Å, α = 90.00°, β = 90.00° and γ = 90.00°. The inequivalent atoms are Ga at (0.0000, 0.0000, 0.0000), Au at (0.0000, 0.0000, 0.5000) and Cl at (0.2500, 0.2500, 0.2500).

The density of states at the Fermi level is 0.0 states/eV/cell. For the volume, the calculation gives 348 Å³ per cell.


two.
GaAuCl2: relaxed, PBE.

It has space group I-42d (No. 122), with a = 5.9538 Å, b = 5.9538 Å, c = 14.0583 Å, α = 90.00°, β = 90.00° and γ = 90.00°. The inequivalent atoms are Ga at (0.0000, 0.0000, 0.0000), Au at (0.0000, 0.0000, 0.5000) and Cl at (0.2024, 0.2500, 0.6250).

The density of states at the Fermi level is 0.0 states/eV/cell. For the volume, the calculation gives 498 Å³ per cell.


Top of the stability list: two, leading by 145 meV per atom.


one.
GaAu2Cl: relaxed, PBE.

It has space group I-42d (No. 122), with a = 6.8159 Å, b = 6.8159 Å, c = 8.0499 Å, α = 90.00°, β = 90.00° and γ = 90.00°. The inequivalent atoms are Ga at (0.0000, 0.0000, 0.0000), Au at (0.2220, 0.7500, 0.1250) and Cl at (0.0000, 0.0000, 0.5000).

The density of states at the Fermi level is 0.6 states/eV/cell. For the volume, the calculation gives 374 Å³ per cell.


two.
GaAu2Cl: relaxed, PBE.

It has space group Fm-3m (No. 225), with a = 6.8014 Å, b = 6.8014 Å, c = 6.8014 Å, α = 90.00°, β = 90.00° and γ = 90.00°. The inequivalent atoms are Ga at (0.0000, 0.0000, 0.0000), Au at (0.2500, 0.2500, 0.2500) and Cl at (0.0000, 0.0000, 0.5000).

The density of states at the Fermi level is 22.0 states/eV/cell. For the volume, the calculation gives 315 Å³ per cell.


Top of the stability list: one, leading by 277 meV per atom.


one.
K2GaAuCl6: relaxed, PBE.

It has space group Fm-3m (No. 225), with a = 10.2170 Å, b = 10.2170 Å, c = 10.2170 Å, α = 90.00°, β = 90.00° and γ = 90.00°. The inequivalent atoms are K at (0.2500, 0.2500, 0.2500), Ga at (0.0000, 0.0000, 0.0000), Au at (0.0000, 0.0000, 0.5000) and Cl at (0.0000, 0.0000, 0.2370).

The density of states at the Fermi level is 5.9 states/eV/cell. For the volume, the calculation gives 1067 Å³ per cell.


two.
K2GaAuCl6: relaxed, PBE.

It has space group P1 (No. 1), with a = 6.4728 Å, b = 6.7598 Å, c = 8.8127 Å, α = 67.68°, β = 84.79° and γ = 77.17°. The inequivalent atoms are K at (0.0000, 0.0000, 0.0000), K at (0.4753, 0.7756, 0.4714), Ga at (0.8158, 0.2589, 0.3948), Au at (0.4067, 0.3697, 0.9499), Cl at (0.3140, 0.7402, 0.8141), Cl at (0.4679, 0.3071, 0.4167), Cl at (0.4986, 0.9970, 0.0802), Cl at (0.9125, 0.4684, 0.1529), Cl at (0.9214, 0.3338, 0.5940) and Cl at (0.9470, 0.9161, 0.4164).

The density of states at the Fermi level is 0.0 states/eV/cell. For the volume, the calculation gives 348 Å³ per cell.


Top of the stability list: two, leading by 147 meV per atom.


one.
GaP2AuCl: relaxed, PBE.

It has space group P4/mmm (No. 123), with a = 4.7844 Å, b = 4.7844 Å, c = 4.6833 Å, α = 90.00°, β = 90.00° and γ = 90.00°. The inequivalent atoms are Ga at (0.0000, 0.0000, 0.0000), P at (0.0000, 0.5000, 0.0000), Au at (0.5000, 0.5000, 0.5000) and Cl at (0.0000, 0.0000, 0.5000).

The density of states at the Fermi level is 4.1 states/eV/cell. For the volume, the calculation gives 107 Å³ per cell.


two.
GaP2AuCl: relaxed, PBE.

It has space group P4/mmm (No. 123), with a = 4.6737 Å, b = 4.6737 Å, c = 6.5602 Å, α = 90.00°, β = 90.00° and γ = 90.00°. The inequivalent atoms are Ga at (0.0000, 0.0000, 0.0000), P at (0.0000, 0.5000, 0.5000), Au at (0.5000, 0.5000, 0.5000) and Cl at (0.5000, 0.5000, 0.0000).

The density of states at the Fermi level is 4.2 states/eV/cell. For the volume, the calculation gives 143 Å³ per cell.


Top of the stability list: two, leading by 113 meV per atom.


one.
Ge3AuCl: relaxed, PBE.

It has space group Pm-3m (No. 221), with a = 4.9160 Å, b = 4.9160 Å, c = 4.9160 Å, α = 90.00°, β = 90.00° and γ = 90.00°. The inequivalent atoms are Ge at (0.0000, 0.0000, 0.5000), Au at (0.5000, 0.5000, 0.5000) and Cl at (0.0000, 0.0000, 0.0000).

The density of states at the Fermi level is 2.4 states/eV/cell. For the volume, the calculation gives 119 Å³ per cell.


two.
Ge3AuCl: relaxed, PBE.

It has space group Pm-3m (No. 221), with a = 5.1383 Å, b = 5.1383 Å, c = 5.1383 Å, α = 90.00°, β = 90.00° and γ = 90.00°. The inequivalent atoms are Ge at (0.0000, 0.0000, 0.5000), Au at (0.0000, 0.0000, 0.0000) and Cl at (0.5000, 0.5000, 0.5000).

The density of states at the Fermi level is 4.0 states/eV/cell. For the volume, the calculation gives 136 Å³ per cell.


Top of the stability list: two, leading by 271 meV per atom.


one.
Ge2Au2Cl: relaxed, PBE.

It has space group P4/mbm (No. 127), with a = 8.0306 Å, b = 8.0306 Å, c = 3.1198 Å, α = 90.00°, β = 90.00° and γ = 90.00°. The inequivalent atoms are Ge at (0.1392, 0.3608, 0.0000), Au at (0.1532, 0.6532, 0.5000) and Cl at (0.0000, 0.0000, 0.5000).

The density of states at the Fermi level is 2.8 states/eV/cell. For the volume, the calculation gives 201 Å³ per cell.


two.
Ge2Au2Cl: relaxed, PBE.

It has space group I4/mmm (No. 139), with a = 4.7979 Å, b = 4.7979 Å, c = 9.8948 Å, α = 90.00°, β = 90.00° and γ = 90.00°. The inequivalent atoms are Ge at (0.0000, 0.5000, 0.2500), Au at (0.0000, 0.0000, 0.1398) and Cl at (0.0000, 0.0000, 0.5000).

The density of states at the Fermi level is 5.9 states/eV/cell. For the volume, the calculation gives 228 Å³ per cell.


Top of the stability list: one, leading by 6 meV per atom.


one.
GePAuCl2: relaxed, PBE.

It has space group P4/mmm (No. 123), with a = 4.9306 Å, b = 4.9306 Å, c = 4.9881 Å, α = 90.00°, β = 90.00° and γ = 90.00°. The inequivalent atoms are Ge at (0.0000, 0.0000, 0.0000), P at (0.5000, 0.5000, 0.0000), Au at (0.5000, 0.5000, 0.5000) and Cl at (0.0000, 0.5000, 0.5000).

The density of states at the Fermi level is 3.5 states/eV/cell. For the volume, the calculation gives 121 Å³ per cell.


two.
GePAuCl2: relaxed, PBE.

It has space group P4/mmm (No. 123), with a = 4.7293 Å, b = 4.7293 Å, c = 5.1879 Å, α = 90.00°, β = 90.00° and γ = 90.00°. The inequivalent atoms are Ge at (0.0000, 0.0000, 0.0000), P at (0.0000, 0.0000, 0.5000), Au at (0.5000, 0.5000, 0.5000) and Cl at (0.0000, 0.5000, 0.0000).

The density of states at the Fermi level is 2.8 states/eV/cell. For the volume, the calculation gives 116 Å³ per cell.


Top of the stability list: two, leading by 108 meV per atom.


one.
HAuCl2: relaxed, PBE.

It has space group I-42d (No. 122), with a = 5.4629 Å, b = 5.4629 Å, c = 9.5310 Å, α = 90.00°, β = 90.00° and γ = 90.00°. The inequivalent atoms are H at (0.0000, 0.0000, 0.0000), Au at (0.0000, 0.0000, 0.5000) and Cl at (0.1596, 0.2500, 0.1250).

The density of states at the Fermi level is 0.0 states/eV/cell. For the volume, the calculation gives 284 Å³ per cell.


two.
HAuCl2: relaxed, PBE.

It has space group R-3m (No. 166, hexagonal axes), with a = 4.2565 Å, b = 4.2565 Å, c = 17.3664 Å, α = 90.00°, β = 90.00° and γ = 120.00°. The inequivalent atoms are H at (0.0000, 0.0000, 0.0000), Au at (0.0000, 0.0000, 0.5000) and Cl at (0.0000, 0.0000, 0.0899).

The density of states at the Fermi level is 0.0 states/eV/cell. For the volume, the calculation gives 272 Å³ per cell.


Top of the stability list: two, leading by 293 meV per atom.